No. 1
Computed, not measured: a relaxed structure of CoBiAs3 at the PBE-GGA level of DFT.

## Properties
Space-group type: Pm-3m
Offset from the most stable computed form, kJ/mol of formula units: 0
Fermi-level density of states, states/eV/cell: 5.96

a = 4.704 Å, b = 4.704 Å, c = 4.704 Å
α = 90.00°, β = 90.00°, γ = 90.00°
Last column: magnetic moment on the atom in μB.
Positions (direct):
As  0.000  0.000  0.500  0.03
As  0.000  0.500  0.000  0.04
Co  0.000  0.000  0.000  0.37
Bi  0.500  0.500  0.500  -0.04
As  0.500  0.000  0.000  0.04



No. 2
Computed, not measured: a relaxed structure of Sc2MoW at the PBE-GGA level of DFT.

## Properties
Space-group type: Cmm2
Offset from the most stable computed form, kJ/mol of formula units: 53
Fermi-level density of states, states/eV/cell: 3.61

a = 2.911 Å, b = 2.911 Å, c = 9.651 Å
α = 90.00°, β = 90.00°, γ = 111.12°
Positions (direct):
Mo  0.500  0.500  0.732
Sc  0.000  0.000  0.971
W  0.000  0.000  0.520
Sc  0.500  0.500  0.277



No. 3
Computed, not measured: a relaxed structure of TaO2F at the PBE-GGA level of DFT.

## Properties
Space-group type: Pnna
E, eV per atom: -8.77
Fermi-level density of states, states/eV/cell: 0.00

a = 5.062 Å, b = 5.522 Å, c = 8.771 Å
α = 90.00°, β = 90.00°, γ = 90.00°
Positions (direct):
Ta  0.500  0.750  0.065
Ta  0.000  0.250  0.565
Ta  0.000  0.750  0.435
O  0.297  0.563  0.929
F  0.250  0.661  0.250
O  0.203  0.563  0.571
O  0.703  0.437  0.071
O  0.203  0.063  0.429
O  0.703  0.937  0.929
F  0.750  0.839  0.250
O  0.797  0.937  0.571
Ta  0.500  0.250  0.935
F  0.250  0.161  0.750
O  0.797  0.437  0.429
F  0.750  0.339  0.750
O  0.297  0.063  0.071



No. 4
Computed, not measured: a relaxed structure of LiAuSe2 at the PBE-GGA level of DFT.

## Properties
Space-group type: R-3m
E, eV per atom: -3.20
Fermi-level density of states, states/eV/cell: 2.26

a = 7.979 Å, b = 7.979 Å, c = 7.979 Å
α = 28.89°, β = 28.89°, γ = 28.89°
Positions (direct):
Se  0.107  0.107  0.107
Li  0.000  0.000  0.000
Se  0.893  0.893  0.893
Au  0.500  0.500  0.500



No. 5
Computed, not measured: a relaxed structure of PRuRh at the PBE-GGA level of DFT.

## Properties
Space-group type: I4mm
E, eV per atom: -7.61
Fermi-level density of states, states/eV/cell: 2.33

a = 5.260 Å, b = 5.260 Å, c = 5.260 Å
α = 148.35°, β = 148.35°, γ = 45.37°
Positions (direct):
P  0.993  0.993  0.000
Rh  0.646  0.646  0.000
Ru  0.361  0.361  0.000



No. 6
Computed, not measured: a relaxed structure of Ti5CoSb3 at the PBE-GGA level of DFT.

## Properties
Space-group type: P6_3/mcm
E, eV per atom: -7.04
Fermi-level density of states, states/eV/cell: 18.38

a = 8.184 Å, b = 8.184 Å, c = 5.448 Å
α = 90.00°, β = 90.00°, γ = 120.00°
Positions (direct):
Ti  0.000  0.252  0.750
Sb  0.000  0.390  0.250
Ti  0.252  0.252  0.250
Sb  0.610  0.000  0.750
Sb  0.390  0.390  0.750
Ti  0.333  0.667  0.500
Sb  0.000  0.610  0.750
Co  0.000  0.000  0.000
Ti  0.667  0.333  0.000
Ti  0.748  0.748  0.750
Ti  0.748  0.000  0.250
Sb  0.610  0.610  0.250
Sb  0.390  0.000  0.250
Ti  0.000  0.748  0.250
Co  0.000  0.000  0.500
Ti  0.333  0.667  0.000
Ti  0.252  0.000  0.750
Ti  0.667  0.333  0.500



The highest Fermi-level density of states belongs to which entry? Ti5CoSb3



Look up the Fermi-level density of states of the sixth one. 18.38 states/eV/cell